Rb2CeCdCl6, relaxed, DFT GGA-PBE; uncorrected energy = -74.42 eV/cell; space group = Pmmn; density = 2.89 g/cm³; M_tot = 1.37 μB/f.u.; E_form (uncorrected) = -17.3 eV/f.u.
1.0
8.121 0.000 0.000
0.000 11.348 0.000
0.000 0.000 7.920
Rb Ce Cd Cl
4 2 2 12
direct
0.250 0.037 0.225 Rb
0.250 0.463 0.225 Rb
0.750 0.537 0.775 Rb
0.750 0.963 0.775 Rb
0.250 0.250 0.741 Ce
0.750 0.750 0.259 Ce
0.250 0.750 0.753 Cd
0.750 0.250 0.247 Cd
0.016 0.250 0.990 Cl
0.024 0.250 0.486 Cl
0.250 0.010 0.762 Cl
0.250 0.490 0.762 Cl
0.476 0.250 0.486 Cl
0.484 0.250 0.990 Cl
0.516 0.750 0.010 Cl
0.524 0.750 0.514 Cl
0.750 0.510 0.238 Cl
0.750 0.990 0.238 Cl
0.976 0.750 0.514 Cl
0.984 0.750 0.010 Cl